{
  "formula": "Ce2TiCd",
  "functional": "PBE-GGA",
  "state": "optimized geometry",
  "cell": [[-2.3406, -0.9746, -1.7500], [-1.2589, -1.3778, 2.4511], [-5.0174, 8.2997, 2.0884]],
  "species": ["Ti", "Cd", "Ce", "Ce"],
  "fractional_positions": [[0.5000, 0.5000, 0.0000], [0.5000, 0.5000, 0.5000], [0.0000, 0.0000, 0.2357], [0.0000, 0.0000, 0.7643]],
  "m_tot_mub_per_fu": 0.00,
  "e_tot_ev_per_atom": -5.153,
  "e_form_ev_per_atom": 0.016
}


{
  "formula": "Ce2TiCd",
  "functional": "PBE-GGA",
  "state": "optimized geometry",
  "cell": [[4.9262, 0.0000, 0.0000], [0.0000, 4.3587, 0.0000], [0.0000, 0.0000, 4.3587]],
  "species": ["Ce", "Ti", "Cd", "Ce"],
  "fractional_positions": [[0.0000, 0.5000, 0.0000], [0.5000, 0.0000, 0.0000], [0.5000, 0.5000, 0.5000], [0.0000, 0.0000, 0.5000]],
  "m_tot_mub_per_fu": 1.43,
  "e_tot_ev_per_atom": -5.088,
  "e_form_ev_per_atom": 0.082
}


{
  "formula": "Ce2TiCd",
  "functional": "PBE-GGA",
  "state": "optimized geometry",
  "cell": [[-0.6216, -2.9153, 0.7842], [1.5822, -1.3558, 2.2713], [-7.3089, 2.2172, 8.5062]],
  "species": ["Ti", "Ce", "Cd", "Ce"],
  "fractional_positions": [[0.0000, 0.0000, 0.0000], [0.2547, 0.2547, 0.2359], [0.5000, 0.5000, 0.5000], [0.7453, 0.7453, 0.7641]],
  "m_tot_mub_per_fu": 0.00,
  "e_tot_ev_per_atom": -5.067,
  "e_form_ev_per_atom": 0.102
}


{
  "formula": "CeTiCd4",
  "functional": "PBE-GGA",
  "state": "optimized geometry",
  "cell": [[-1.5500, -0.5050, 5.5578], [-2.8736, -4.6997, 1.7896], [2.6302, -3.8831, 3.3987]],
  "species": ["Cd", "Ti", "Ce", "Cd", "Cd", "Cd"],
  "fractional_positions": [[0.6255, 0.1236, 0.6255], [0.0000, 0.0000, 0.0000], [0.2500, 0.2500, 0.2500], [0.6255, 0.6255, 0.1236], [0.1236, 0.6255, 0.6255], [0.6255, 0.6255, 0.6255]],
  "m_tot_mub_per_fu": 3.15,
  "e_tot_ev_per_atom": -2.931,
  "e_form_ev_per_atom": -0.016
}


{
  "formula": "CeTiCd",
  "functional": "PBE-GGA",
  "state": "optimized geometry",
  "cell": [[5.0835, 0.1486, -0.5452], [-0.0777, 3.1053, 0.1141], [-5.3881, -0.4716, 9.1032]],
  "species": ["Cd", "Ce", "Ce", "Ti", "Cd", "Ti"],
  "fractional_positions": [[0.9880, 0.7496, 0.7633], [0.3059, 0.2498, 0.6195], [0.6941, 0.7502, 0.3805], [0.2803, 0.2499, 0.0497], [0.0120, 0.2504, 0.2367], [0.7197, 0.7501, 0.9503]],
  "m_tot_mub_per_fu": 0.00,
  "e_tot_ev_per_atom": -4.849,
  "e_form_ev_per_atom": 0.066
}


{
  "formula": "CeTl2Cd",
  "functional": "PBE-GGA",
  "state": "optimized geometry",
  "cell": [[4.6655, 0.0000, 0.0000], [0.0000, 4.8252, 0.0000], [0.0000, 0.0000, 4.8252]],
  "species": ["Tl", "Tl", "Cd", "Ce"],
  "fractional_positions": [[0.0000, 0.5000, 0.0000], [0.0000, 0.0000, 0.5000], [0.5000, 0.0000, 0.0000], [0.5000, 0.5000, 0.5000]],
  "m_tot_mub_per_fu": 1.06,
  "e_tot_ev_per_atom": -3.107,
  "e_form_ev_per_atom": -0.212
}


{
  "formula": "Ce4Tl3Cd",
  "functional": "PBE-GGA",
  "state": "optimized geometry",
  "cell": [[4.6809, 0.0000, -1.2635], [-0.3348, 4.6752, -1.2403], [0.2027, 0.1669, 10.0531]],
  "species": ["Tl", "Tl", "Ce", "Ce", "Ce", "Tl", "Cd", "Ce"],
  "fractional_positions": [[0.2497, 0.7498, 0.4995], [0.7503, 0.2502, 0.5005], [0.3758, 0.3758, 0.7516], [0.8758, 0.8758, 0.7516], [0.6242, 0.6242, 0.2484], [0.0000, 0.5000, 0.0000], [0.5000, 0.0000, 0.0000], [0.1242, 0.1242, 0.2484]],
  "m_tot_mub_per_fu": 4.76,
  "e_tot_ev_per_atom": -4.189,
  "e_form_ev_per_atom": -0.221
}


{
  "formula": "Ce2Tl3Cd",
  "functional": "PBE-GGA",
  "state": "optimized geometry",
  "cell": [[-4.5380, -1.1584, 0.6243], [1.0825, -1.9701, 4.2130], [-1.7398, 7.4845, 1.2407]],
  "species": ["Cd", "Ce", "Ce", "Tl", "Tl", "Tl"],
  "fractional_positions": [[0.0000, 0.0000, 0.0000], [0.0000, 0.6598, 0.3195], [0.0000, 0.3402, 0.6805], [0.5000, 0.8300, 0.6601], [0.5000, 0.5000, 0.0000], [0.5000, 0.1700, 0.3399]],
  "m_tot_mub_per_fu": 2.07,
  "e_tot_ev_per_atom": -3.500,
  "e_form_ev_per_atom": -0.186
}


{
  "formula": "Ce4Tl5Cd",
  "functional": "PBE-GGA",
  "state": "optimized geometry",
  "cell": [[-5.2452, -4.6607, 4.2230], [6.4857, 1.0415, 9.2051], [-3.4094, 5.4543, 1.7851]],
  "species": ["Tl", "Ce", "Cd", "Ce", "Ce", "Tl", "Ce", "Ce", "Ce", "Ce", "Ce", "Tl", "Tl", "Tl", "Tl", "Cd", "Tl", "Tl", "Tl", "Tl"],
  "fractional_positions": [[0.1780, 0.7868, 0.7699], [0.4908, 0.3371, 0.0000], [0.5441, 0.5000, 0.5000], [0.5092, 0.1629, 0.5000], [0.5092, 0.8371, 0.5000], [0.8220, 0.7132, 0.7301], [0.8306, 0.0000, 0.7792], [0.8306, 0.0000, 0.2208], [0.4908, 0.6629, 0.0000], [0.1694, 0.5000, 0.7208], [0.1694, 0.5000, 0.2792], [0.1647, 0.0000, 0.5000], [0.1780, 0.2132, 0.7699], [0.1780, 0.7868, 0.2301], [0.8353, 0.5000, 0.0000], [0.4559, 0.0000, 0.0000], [0.8220, 0.2868, 0.7301], [0.1780, 0.2132, 0.2301], [0.8220, 0.2868, 0.2699], [0.8220, 0.7132, 0.2699]],
  "m_tot_mub_per_fu": 5.13,
  "e_tot_ev_per_atom": -3.554,
  "e_form_ev_per_atom": 0.094
}


{
  "formula": "CeTlCd",
  "functional": "PBE-GGA",
  "state": "optimized geometry",
  "cell": [[-1.0331, 0.7958, 3.1885], [2.9492, -1.2501, 1.2676], [1.9120, 6.3831, -2.8346]],
  "species": ["Cd", "Ce", "Tl"],
  "fractional_positions": [[0.9458, 0.9458, 0.8917], [0.6144, 0.6144, 0.2287], [0.2898, 0.2898, 0.5796]],
  "m_tot_mub_per_fu": 1.58,
  "e_tot_ev_per_atom": -3.187,
  "e_form_ev_per_atom": -0.116
}


{
  "formula": "Ce4Tl5Cd",
  "functional": "PBE-GGA",
  "state": "optimized geometry",
  "cell": [[5.0652, 0.0001, -1.7365], [-0.5446, 6.4265, -1.5889], [0.1656, 0.2124, 8.7382]],
  "species": ["Cd", "Tl", "Ce", "Ce", "Ce", "Tl", "Tl", "Tl", "Ce", "Tl"],
  "fractional_positions": [[0.5000, 0.0000, 0.0000], [0.7123, 0.8448, 0.4246], [0.0948, 0.8081, 0.1895], [0.9052, 0.1919, 0.8105], [0.6948, 0.3433, 0.3895], [0.9014, 0.6846, 0.8027], [0.2877, 0.1552, 0.5754], [0.5000, 0.5000, 0.0000], [0.3052, 0.6567, 0.6105], [0.0986, 0.3154, 0.1973]],
  "m_tot_mub_per_fu": 4.28,
  "e_tot_ev_per_atom": -3.842,
  "e_form_ev_per_atom": -0.193
}


{
  "formula": "Ce2TlCd3",
  "functional": "PBE-GGA",
  "state": "optimized geometry",
  "cell": [[3.3682, 0.0000, 0.0000], [0.0000, 5.1488, 0.0000], [0.0000, 0.0000, 8.9127]],
  "species": ["Ce", "Ce", "Cd", "Cd", "Cd", "Tl"],
  "fractional_positions": [[0.0000, 0.0000, 0.5000], [0.0000, 0.5000, 0.0003], [0.5000, 0.0000, 0.8313], [0.5000, 0.0000, 0.1597], [0.5000, 0.5000, 0.6734], [0.5000, 0.5000, 0.3353]],
  "m_tot_mub_per_fu": 2.63,
  "e_tot_ev_per_atom": -3.065,
  "e_form_ev_per_atom": -0.235
}


{
  "formula": "Ce5Tl6Cd",
  "functional": "PBE-GGA",
  "state": "optimized geometry",
  "cell": [[-2.3702, -4.2633, -0.1838], [-0.5077, 0.6818, -9.2900], [7.9153, -1.7822, 4.1208]],
  "species": ["Ce", "Tl", "Tl", "Ce", "Tl", "Ce", "Cd", "Ce", "Tl", "Ce", "Tl", "Tl"],
  "fractional_positions": [[0.3399, 0.8400, 0.6799], [0.8307, 0.0793, 0.6612], [0.5000, 0.7559, 0.0000], [0.3391, 0.3392, 0.6785], [0.1693, 0.9207, 0.3388], [0.6601, 0.1600, 0.3201], [0.0000, 0.0000, 0.0000], [0.6609, 0.6608, 0.3215], [0.8307, 0.5820, 0.6612], [0.0000, 0.5000, 0.0000], [0.1693, 0.4180, 0.3388], [0.5000, 0.2441, 0.0000]],
  "m_tot_mub_per_fu": 5.81,
  "e_tot_ev_per_atom": -3.933,
  "e_form_ev_per_atom": -0.201
}


{
  "formula": "CeTlCd",
  "functional": "PBE-GGA",
  "state": "optimized geometry",
  "cell": [[-3.2269, 2.8442, -2.6919], [-2.5872, -2.0542, -3.8517], [-5.0009, -0.7520, 0.4176]],
  "species": ["Tl", "Cd", "Ce"],
  "fractional_positions": [[0.2500, 0.2500, 0.2500], [0.0000, 0.0000, 0.0000], [0.5000, 0.5000, 0.5000]],
  "m_tot_mub_per_fu": 0.98,
  "e_tot_ev_per_atom": -3.163,
  "e_form_ev_per_atom": -0.092
}


{
  "formula": "Ce6Tl5Cd",
  "functional": "PBE-GGA",
  "state": "optimized geometry",
  "cell": [[4.6954, -0.0031, -1.3156], [-3.3353, 7.8902, -2.8897], [0.0021, 0.0765, 9.0401]],
  "species": ["Tl", "Ce", "Ce", "Ce", "Tl", "Cd", "Tl", "Ce", "Ce", "Tl", "Tl", "Ce"],
  "fractional_positions": [[0.5000, 0.8365, 0.1635], [0.2500, 0.4163, 0.0838], [0.2500, 0.0838, 0.4163], [0.7500, 0.9162, 0.5837], [0.0000, 0.6674, 0.3326], [0.0000, 0.0000, 0.0000], [0.5000, 0.1635, 0.8365], [0.2497, 0.7499, 0.7499], [0.7503, 0.2501, 0.2501], [0.5000, 0.5000, 0.5000], [0.0000, 0.3326, 0.6674], [0.7500, 0.5837, 0.9162]],
  "m_tot_mub_per_fu": 7.37,
  "e_tot_ev_per_atom": -4.258,
  "e_form_ev_per_atom": -0.229
}


{
  "formula": "Ce8Tl2Cd",
  "functional": "PBE-GGA",
  "state": "optimized geometry",
  "cell": [[-2.3190, -3.4229, 3.2930], [6.2379, -1.3764, 2.9621], [-2.4773, 8.2504, 2.5891]],
  "species": ["Tl", "Ce", "Ce", "Ce", "Ce", "Ce", "Ce", "Tl", "Ce", "Ce", "Cd"],
  "fractional_positions": [[0.2039, 0.6555, 0.4078], [0.1856, 0.1479, 0.3712], [0.8144, 0.8521, 0.6288], [0.3421, 0.1223, 0.6842], [0.0010, 0.3150, 0.0020], [0.3936, 0.5464, 0.7871], [0.9990, 0.6850, 0.9980], [0.7961, 0.3445, 0.5921], [0.6579, 0.8777, 0.3158], [0.6064, 0.4536, 0.2129], [0.5000, 0.0000, 0.0000]],
  "m_tot_mub_per_fu": 4.90,
  "e_tot_ev_per_atom": -4.882,
  "e_form_ev_per_atom": -0.053
}


{
  "formula": "Ce6TlCd",
  "functional": "PBE-GGA",
  "state": "optimized geometry",
  "cell": [[-2.8062, 0.1993, -6.1369], [-1.3533, -5.7872, 3.2020], [-2.2438, 4.9485, 3.5212]],
  "species": ["Ce", "Ce", "Cd", "Tl", "Ce", "Ce", "Ce", "Ce"],
  "fractional_positions": [[0.5368, 0.0385, 0.2333], [0.4632, 0.9615, 0.7667], [0.0000, 0.0000, 0.0000], [0.5000, 0.5000, 0.5000], [0.0385, 0.5368, 0.2333], [0.9615, 0.4632, 0.7667], [0.7877, 0.7877, 0.3115], [0.2123, 0.2123, 0.6885]],
  "m_tot_mub_per_fu": 1.59,
  "e_tot_ev_per_atom": -4.706,
  "e_form_ev_per_atom": 0.154
}


{
  "formula": "Ce3Tl2Cd4",
  "functional": "PBE-GGA",
  "state": "optimized geometry",
  "cell": [[4.7034, 0.0000, 0.0000], [0.0000, 7.7063, 0.0000], [0.0000, -3.8532, 6.6739]],
  "species": ["Cd", "Ce", "Cd", "Cd", "Ce", "Tl", "Cd", "Tl", "Ce"],
  "fractional_positions": [[0.5000, 0.0000, 0.0000], [0.5000, 0.5734, 0.5734], [0.0000, 0.7624, 0.0000], [0.0000, 0.0000, 0.7624], [0.5000, 0.4266, 0.0000], [0.0000, 0.6667, 0.3333], [0.0000, 0.2376, 0.2376], [0.0000, 0.3333, 0.6667], [0.5000, 0.0000, 0.4266]],
  "m_tot_mub_per_fu": 2.42,
  "e_tot_ev_per_atom": -3.133,
  "e_form_ev_per_atom": -0.223
}


{
  "formula": "Ce4Tl3Cd",
  "functional": "PBE-GGA",
  "state": "optimized geometry",
  "cell": [[3.1479, 0.0000, 0.0000], [0.0000, 5.6508, -0.7366], [-1.5740, -2.3949, 13.0760]],
  "species": ["Cd", "Tl", "Tl", "Ce", "Ce", "Ce", "Tl", "Ce"],
  "fractional_positions": [[0.5000, 0.0000, 0.0000], [0.0000, 0.5000, 0.0000], [0.7215, 0.1987, 0.4430], [0.8937, 0.0355, 0.7874], [0.8553, 0.4183, 0.7106], [0.1063, 0.9645, 0.2126], [0.2785, 0.8013, 0.5570], [0.1447, 0.5817, 0.2894]],
  "m_tot_mub_per_fu": 2.79,
  "e_tot_ev_per_atom": -3.841,
  "e_form_ev_per_atom": 0.128
}


{
  "formula": "CeTl2Cd",
  "functional": "PBE-GGA",
  "state": "optimized geometry",
  "cell": [[-0.4032, 2.8265, 2.4622], [-1.3215, -2.4246, 2.5669], [7.1613, -1.2015, 2.5520]],
  "species": ["Tl", "Ce", "Tl", "Cd"],
  "fractional_positions": [[0.0000, 0.0000, 0.2273], [0.5000, 0.5000, 0.5000], [0.0000, 0.0000, 0.7727], [0.5000, 0.5000, 0.0000]],
  "m_tot_mub_per_fu": 1.53,
  "e_tot_ev_per_atom": -2.968,
  "e_form_ev_per_atom": -0.072
}